Arrangement P

Material: LiNiOs2
Method: DFT, PBE
State: relaxed

- volume (A^3/atom) = 13.14

Unit cell a=2.686 b=3.798 c=5.151 alpha=90.00 beta=90.00 gamma=90.00
Sites, in units of the cell vectors:
Li: 0.000 0.000 0.520
Ni: 0.500 0.500 0.728
Os: 0.000 0.000 0.016
Os: 0.500 0.500 0.235


Arrangement Q

Material: LiNiOs2
Method: DFT, PBE
State: relaxed

- volume (A^3/atom) = 13.11

Unit cell a=4.567 b=4.567 c=4.615 alpha=82.36 beta=82.36 gamma=33.37
Sites, in units of the cell vectors:
Os: 0.743 0.743 0.774
Os: 0.994 0.994 0.972
Li: 0.505 0.505 0.469
Ni: 0.259 0.259 0.284


So which one is most stable? That would be arrangement Q, about 0.006 eV/atom below the next structure.


Arrangement P

Material: LiNiOs2
Method: DFT, PBE
State: relaxed

- volume (A^3/atom) = 13.25

Unit cell a=2.721 b=4.433 c=4.392 alpha=90.00 beta=90.00 gamma=90.00
Sites, in units of the cell vectors:
Li: 0.500 0.000 0.500
Ni: 0.000 0.500 0.500
Os: 0.500 0.500 0.000
Os: 0.000 0.000 0.000


Arrangement Q

Material: LiNiOs2
Method: DFT, PBE
State: relaxed

- volume (A^3/atom) = 12.95

Unit cell a=3.974 b=3.611 c=3.611 alpha=90.00 beta=90.00 gamma=90.00
Sites, in units of the cell vectors:
Ni: 0.500 0.000 0.500
Os: 0.000 0.000 0.000
Os: 0.000 0.500 0.500
Li: 0.500 0.500 0.000


Arrangement R

Material: LiNiOs2
Method: DFT, PBE
State: relaxed

- volume (A^3/atom) = 13.74

Unit cell a=8.874 b=8.874 c=8.874 alpha=17.47 beta=17.47 gamma=17.47
Sites, in units of the cell vectors:
Li: 0.496 0.496 0.496
Ni: 0.749 0.749 0.749
Os: 0.002 0.002 0.002
Os: 0.253 0.253 0.253


So which one is most stable? That would be arrangement R, about 0.096 eV/atom below the next structure.


Arrangement P

Material: LiNiOs2
Method: DFT, PBE
State: relaxed

- volume (A^3/atom) = 12.18

Unit cell a=2.909 b=2.909 c=5.757 alpha=90.00 beta=90.00 gamma=90.00
Sites, in units of the cell vectors:
Ni: 0.500 0.500 0.750
Os: 0.000 0.000 0.011
Os: 0.000 0.000 0.489
Li: 0.500 0.500 0.250


Arrangement Q

Material: LiNiOs2
Method: DFT, PBE
State: relaxed

- volume (A^3/atom) = 13.76

Unit cell a=2.638 b=2.638 c=8.876 alpha=90.00 beta=90.00 gamma=116.95
Sites, in units of the cell vectors:
Li: 0.000 0.000 0.511
Os: 0.000 0.000 0.991
Os: 0.500 0.500 0.248
Ni: 0.500 0.500 0.750


So which one is most stable? That would be arrangement Q, about 0.084 eV/atom below the next structure.


Arrangement P

Material: LiNiOs2
Method: DFT, PBE
State: relaxed

- volume (A^3/atom) = 12.83

Unit cell a=4.652 b=4.652 c=4.652 alpha=133.94 beta=133.94 gamma=67.18
Sites, in units of the cell vectors:
Os: 0.500 0.500 0.000
Os: 0.000 0.000 0.000
Ni: 0.750 0.250 0.500
Li: 0.250 0.750 0.500


Arrangement Q

Material: LiNiOs2
Method: DFT, PBE
State: relaxed

- volume (A^3/atom) = 13.98

Unit cell a=5.595 b=5.595 c=5.595 alpha=152.72 beta=135.59 gamma=52.91
Sites, in units of the cell vectors:
Os: 0.039 0.039 0.000
Os: 0.461 0.461 0.000
Li: 0.750 0.250 0.500
Ni: 0.250 0.750 0.500


So which one is most stable? That would be arrangement Q, about 0.220 eV/atom below the next structure.